DFT (PBE-GGA) results for a geometry-optimized UPd3C2 structure.

Properties
Total energy ... -6.61 eV per atom

Cell lengths 3.3134, 3.3134, 9.2917 Å; angles 90.00, 90.00, 120.00 degrees
Space group P-3m1 (No. 164)
Symmetry-distinct sites (fractional):
1 U 0.0000 0.0000 0.0000 (multiplicity 1)
2 Pd 0.0000 0.0000 0.5000 (multiplicity 1)
3 Pd 0.3333 0.6667 0.7300 (multiplicity 2)
4 C 0.3333 0.6667 0.3399 (multiplicity 2)

---

DFT (PBE-GGA) results for a geometry-optimized GdNbPO structure.

Properties
Distance to the lowest polymorph of the same formula ... 20.0 kJ/mol of atoms

Cell lengths 4.201, 4.716, 6.648 Å; angles 90.00, 90.00, 90.00 degrees
Space group Pmc2_1 (No. 26)
Symmetry-distinct sites (fractional):
1 Gd 0.000 0.159 0.000 (multiplicity 2)
2 Nb 0.500 0.359 0.353 (multiplicity 2)
3 P 0.500 0.147 0.704 (multiplicity 2)
4 O 0.000 0.360 0.349 (multiplicity 2)

---

DFT (PBE-GGA) results for a geometry-optimized Li2LaSiPd structure.

Properties
Total energy ... -4.35 eV per atom

Cell lengths 4.116, 4.116, 11.711 Å; angles 90.00, 90.00, 90.00 degrees
Space group I4mm (No. 107)
Symmetry-distinct sites (fractional):
1 Li 0.000 0.500 0.000 (multiplicity 4)
2 La 0.000 0.000 0.261 (multiplicity 2)
3 Si 0.000 0.000 0.864 (multiplicity 2)
4 Pd 0.000 0.000 0.653 (multiplicity 2)

---

DFT (PBE-GGA) results for a geometry-optimized CuAg7 structure.

Properties
Energy of formation from the pure elements ... 0.04 eV/atom
Distance to the lowest polymorph of the same formula ... 1.2 kJ/mol of atoms

Cell lengths 7.664, 8.687, 9.618 Å; angles 113.53, 96.43, 104.60 degrees
Space group P1 (No. 1)
Symmetry-distinct sites (fractional):
1 Cu 0.000 0.000 0.000 (multiplicity 1)
2 Cu 0.061 0.883 0.706 (multiplicity 1)
3 Cu 0.296 0.881 0.942 (multiplicity 1)
4 Cu 0.871 0.258 0.633 (multiplicity 1)
5 Ag 0.055 0.373 0.191 (multiplicity 1)
6 Ag 0.114 0.246 0.879 (multiplicity 1)
7 Ag 0.119 0.757 0.389 (multiplicity 1)
8 Ag 0.179 0.129 0.573 (multiplicity 1)
9 Ag 0.181 0.631 0.070 (multiplicity 1)
10 Ag 0.239 0.002 0.251 (multiplicity 1)
11 Ag 0.239 0.504 0.760 (multiplicity 1)
12 Ag 0.309 0.381 0.447 (multiplicity 1)
13 Ag 0.363 0.244 0.128 (multiplicity 1)
14 Ag 0.363 0.758 0.640 (multiplicity 1)
15 Ag 0.426 0.122 0.820 (multiplicity 1)
16 Ag 0.431 0.630 0.322 (multiplicity 1)
17 Ag 0.492 0.500 0.006 (multiplicity 1)
18 Ag 0.500 0.009 0.511 (multiplicity 1)
19 Ag 0.550 0.879 0.191 (multiplicity 1)
20 Ag 0.563 0.381 0.696 (multiplicity 1)
21 Ag 0.617 0.758 0.884 (multiplicity 1)
22 Ag 0.623 0.255 0.385 (multiplicity 1)
23 Ag 0.681 0.124 0.066 (multiplicity 1)
24 Ag 0.687 0.636 0.572 (multiplicity 1)
25 Ag 0.744 0.503 0.255 (multiplicity 1)
26 Ag 0.754 0.005 0.758 (multiplicity 1)
27 Ag 0.808 0.378 0.938 (multiplicity 1)
28 Ag 0.811 0.886 0.450 (multiplicity 1)
29 Ag 0.868 0.758 0.130 (multiplicity 1)
30 Ag 0.932 0.130 0.320 (multiplicity 1)
31 Ag 0.940 0.643 0.823 (multiplicity 1)
32 Ag 0.993 0.505 0.511 (multiplicity 1)

---

DFT (PBE-GGA) results for a geometry-optimized MgAuS2O6 structure.

Properties
Total energy ... -5.48 eV per atom

Cell lengths 7.967, 5.189, 13.159 Å; angles 90.00, 93.69, 90.00 degrees
Space group C2/c (No. 15)
Symmetry-distinct sites (fractional):
1 Mg 0.000 0.005 0.250 (multiplicity 4)
2 Au 0.000 0.000 0.000 (multiplicity 4)
3 S 0.147 0.498 0.617 (multiplicity 8)
4 O 0.020 0.270 0.128 (multiplicity 8)
5 O 0.024 0.262 0.628 (multiplicity 8)
6 O 0.248 0.002 0.785 (multiplicity 8)

---

DFT (PBE-GGA) results for a geometry-optimized BeCdCo structure.

Properties
Distance to the lowest polymorph of the same formula ... 0.0 kJ/mol of atoms

Cell lengths 5.663, 5.663, 5.663 Å; angles 90.00, 90.00, 90.00 degrees
Space group F-43m (No. 216)
Symmetry-distinct sites (fractional):
1 Be 0.000 0.000 0.000 (multiplicity 4)
2 Cd 0.000 0.000 0.500 (multiplicity 4)
3 Co 0.250 0.250 0.250 (multiplicity 4)

---

DFT (PBE-GGA) results for a geometry-optimized U2AlCo2 structure.

Properties
Total energy ... -8.36 eV per atom

Cell lengths 7.068, 7.068, 3.388 Å; angles 90.00, 90.00, 90.00 degrees
Space group P4/mbm (No. 127)
Symmetry-distinct sites (fractional):
1 U 0.172 0.328 0.000 (multiplicity 4)
2 Al 0.000 0.000 0.500 (multiplicity 2)
3 Co 0.136 0.636 0.500 (multiplicity 4)

---

DFT (PBE-GGA) results for a geometry-optimized BaGdNb structure.

Properties
Distance to the lowest polymorph of the same formula ... 0.0 kJ/mol of atoms

Cell lengths 7.592, 7.592, 7.592 Å; angles 90.00, 90.00, 90.00 degrees
Space group F-43m (No. 216)
Symmetry-distinct sites (fractional):
1 Ba 0.000 0.000 0.000 (multiplicity 4)
2 Gd 0.000 0.000 0.500 (multiplicity 4)
3 Nb 0.250 0.250 0.250 (multiplicity 4)

---

DFT (PBE-GGA) results for a geometry-optimized Tm3Mg3Ir2Au structure.

Properties
Total energy ... -5.04 eV per atom

Cell lengths 7.3234, 7.3234, 4.0019 Å; angles 90.00, 90.00, 120.00 degrees
Space group P-62m (No. 189)
Symmetry-distinct sites (fractional):
1 Tm 0.0000 0.4174 0.0000 (multiplicity 3)
2 Mg 0.0000 0.7454 0.5000 (multiplicity 3)
3 Ir 0.3333 0.6667 0.5000 (multiplicity 2)
4 Au 0.0000 0.0000 0.0000 (multiplicity 1)

---

DFT (PBE-GGA) results for a geometry-optimized Li3Pt structure.

Properties
Total energy ... -3.37 eV per atom

Cell lengths 5.997, 5.997, 5.997 Å; angles 90.00, 90.00, 90.00 degrees
Space group Fm-3m (No. 225)
Symmetry-distinct sites (fractional):
1 Li 0.000 0.000 0.000 (multiplicity 4)
2 Li 0.250 0.250 0.250 (multiplicity 8)
3 Pt 0.000 0.000 0.500 (multiplicity 4)

---

DFT (PBE-GGA) results for a geometry-optimized HoGaSnTe3 structure.

Properties
Distance to the lowest polymorph of the same formula ... 4.5 kJ/mol of atoms

Cell lengths 4.614, 14.577, 11.650 Å; angles 90.00, 90.00, 90.00 degrees
Space group Cmcm (No. 63)
Symmetry-distinct sites (fractional):
1 Ho 0.000 0.000 0.000 (multiplicity 4)
2 Ga 0.000 0.260 0.250 (multiplicity 4)
3 Sn 0.000 0.458 0.750 (multiplicity 4)
4 Te 0.000 0.097 0.750 (multiplicity 4)
5 Te 0.000 0.355 0.530 (multiplicity 8)

---

DFT (PBE-GGA) results for a geometry-optimized BaHf2Sc structure.

Properties
Total energy ... -6.40 eV per atom

Cell lengths 7.515, 7.515, 7.515 Å; angles 90.00, 90.00, 90.00 degrees
Space group F-43m (No. 216)
Symmetry-distinct sites (fractional):
1 Ba 0.000 0.000 0.000 (multiplicity 4)
2 Hf 0.000 0.000 0.500 (multiplicity 4)
3 Hf 0.250 0.250 0.750 (multiplicity 4)
4 Sc 0.250 0.250 0.250 (multiplicity 4)

---

DFT (PBE-GGA) results for a geometry-optimized SrPrAgSe3 structure.

Properties
Total energy ... -4.79 eV per atom

Cell lengths 8.134, 4.225, 10.078 Å; angles 90.00, 105.24, 90.00 degrees
Space group P2_1/m (No. 11)
Symmetry-distinct sites (fractional):
1 Sr 0.246 0.250 0.206 (multiplicity 2)
2 Pr 0.202 0.750 0.655 (multiplicity 2)
3 Ag 0.413 0.250 0.909 (multiplicity 2)
4 Se 0.063 0.750 0.350 (multiplicity 2)
5 Se 0.223 0.750 0.961 (multiplicity 2)
6 Se 0.459 0.250 0.658 (multiplicity 2)

---

DFT (PBE-GGA) results for a geometry-optimized CdPtNO structure.

Properties
Distance to the lowest polymorph of the same formula ... 38.2 kJ/mol of atoms

Cell lengths 4.477, 4.477, 5.217 Å; angles 90.00, 90.00, 90.00 degrees
Space group P4/nmm (No. 129, origin choice 2)
Symmetry-distinct sites (fractional):
1 Cd 0.250 0.750 0.000 (multiplicity 2)
2 Pt 0.250 0.250 0.494 (multiplicity 2)
3 N 0.250 0.250 0.876 (multiplicity 2)
4 O 0.250 0.750 0.500 (multiplicity 2)

---

DFT (PBE-GGA) results for a geometry-optimized DyBeNO structure.

Properties
Distance to the lowest polymorph of the same formula ... 56.8 kJ/mol of atoms

Cell lengths 4.596, 4.596, 4.541 Å; angles 90.00, 90.00, 90.00 degrees
Space group P4/nmm (No. 129, origin choice 2)
Symmetry-distinct sites (fractional):
1 Dy 0.250 0.750 0.000 (multiplicity 2)
2 Be 0.250 0.250 0.421 (multiplicity 2)
3 N 0.250 0.250 0.074 (multiplicity 2)
4 O 0.250 0.750 0.500 (multiplicity 2)

---

DFT (PBE-GGA) results for a geometry-optimized AcErO3 structure.

Properties
Total energy ... -8.05 eV per atom

Cell lengths 4.154, 4.154, 4.712 Å; angles 90.00, 90.00, 90.00 degrees
Space group P4mm (No. 99)
Symmetry-distinct sites (fractional):
1 Ac 0.000 0.000 0.000 (multiplicity 1)
2 Er 0.500 0.500 0.570 (multiplicity 1)
3 O 0.000 0.500 0.695 (multiplicity 2)
4 O 0.500 0.500 0.121 (multiplicity 1)

---

DFT (PBE-GGA) results for a geometry-optimized NaZn2Au2 structure.

Properties
Distance to the lowest polymorph of the same formula ... 0.0 kJ/mol of atoms

Cell lengths 7.948, 7.948, 2.832 Å; angles 90.00, 90.00, 90.00 degrees
Space group P4/mbm (No. 127)
Symmetry-distinct sites (fractional):
1 Na 0.000 0.000 0.000 (multiplicity 2)
2 Zn 0.120 0.380 0.000 (multiplicity 4)
3 Au 0.177 0.677 0.500 (multiplicity 4)

---

DFT (PBE-GGA) results for a geometry-optimized Er2TmHg5 structure.

Properties
Energy of formation from the pure elements ... -0.40 eV/atom

Cell lengths 5.097, 7.204, 10.455 Å; angles 90.00, 90.00, 90.00 degrees
Space group Amm2 (No. 38)
Symmetry-distinct sites (fractional):
1 Er 0.000 0.000 0.000 (multiplicity 2)
2 Er 0.500 0.000 0.297 (multiplicity 2)
3 Tm 0.500 0.000 0.745 (multiplicity 2)
4 Hg 0.000 0.000 0.496 (multiplicity 2)
5 Hg 0.000 0.249 0.746 (multiplicity 4)
6 Hg 0.500 0.224 0.024 (multiplicity 4)

---

DFT (PBE-GGA) results for a geometry-optimized BeInBPd structure.

Properties
Distance to the lowest polymorph of the same formula ... 9.7 kJ/mol of atoms

Cell lengths 6.048, 6.048, 6.048 Å; angles 90.00, 90.00, 90.00 degrees
Space group F-43m (No. 216)
Symmetry-distinct sites (fractional):
1 Be 0.000 0.000 0.000 (multiplicity 4)
2 In 0.000 0.000 0.500 (multiplicity 4)
3 B 0.250 0.250 0.750 (multiplicity 4)
4 Pd 0.250 0.250 0.250 (multiplicity 4)

---

DFT (PBE-GGA) results for a geometry-optimized GaCoTcHg structure.

Properties
Distance to the lowest polymorph of the same formula ... 0.0 kJ/mol of atoms

Cell lengths 6.250, 6.250, 6.250 Å; angles 90.00, 90.00, 90.00 degrees
Space group F-43m (No. 216)
Symmetry-distinct sites (fractional):
1 Ga 0.000 0.000 0.000 (multiplicity 4)
2 Co 0.250 0.250 0.250 (multiplicity 4)
3 Tc 0.250 0.250 0.750 (multiplicity 4)
4 Hg 0.000 0.000 0.500 (multiplicity 4)

---

DFT (PBE-GGA) results for a geometry-optimized NaLiCo structure.

Properties
Total energy ... -2.35 eV per atom

Cell lengths 6.308, 6.308, 6.308 Å; angles 90.00, 90.00, 90.00 degrees
Space group F-43m (No. 216)
Symmetry-distinct sites (fractional):
1 Na 0.000 0.000 0.000 (multiplicity 4)
2 Li 0.250 0.250 0.250 (multiplicity 4)
3 Co 0.250 0.250 0.750 (multiplicity 4)

---

DFT (PBE-GGA) results for a geometry-optimized CsUSi structure.

Properties
Distance to the lowest polymorph of the same formula ... 0.0 kJ/mol of atoms

Cell lengths 7.476, 7.476, 7.476 Å; angles 90.00, 90.00, 90.00 degrees
Space group F-43m (No. 216)
Symmetry-distinct sites (fractional):
1 Cs 0.000 0.000 0.000 (multiplicity 4)
2 U 0.000 0.000 0.500 (multiplicity 4)
3 Si 0.250 0.250 0.250 (multiplicity 4)

---

DFT (PBE-GGA) results for a geometry-optimized NaAgSn structure.

Properties
Total energy ... -2.40 eV per atom

Cell lengths 6.765, 6.765, 6.765 Å; angles 90.00, 90.00, 90.00 degrees
Space group F-43m (No. 216)
Symmetry-distinct sites (fractional):
1 Na 0.000 0.000 0.000 (multiplicity 4)
2 Ag 0.250 0.250 0.750 (multiplicity 4)
3 Sn 0.250 0.250 0.250 (multiplicity 4)

---

DFT (PBE-GGA) results for a geometry-optimized NdGeAsO structure.

Properties
Distance to the lowest polymorph of the same formula ... 48.1 kJ/mol of atoms

Cell lengths 5.909, 5.909, 4.925 Å; angles 90.00, 90.00, 90.00 degrees
Space group P4/nmm (No. 129, origin choice 2)
Symmetry-distinct sites (fractional):
1 Nd 0.250 0.750 0.000 (multiplicity 2)
2 Ge 0.250 0.250 0.496 (multiplicity 2)
3 As 0.250 0.250 0.995 (multiplicity 2)
4 O 0.250 0.750 0.500 (multiplicity 2)

---

DFT (PBE-GGA) results for a geometry-optimized BeCdAsIr structure.

Properties
Distance to the lowest polymorph of the same formula ... 0.0 kJ/mol of atoms

Cell lengths 6.249, 6.249, 6.249 Å; angles 90.00, 90.00, 90.00 degrees
Space group F-43m (No. 216)
Symmetry-distinct sites (fractional):
1 Be 0.000 0.000 0.000 (multiplicity 4)
2 Cd 0.250 0.250 0.750 (multiplicity 4)
3 As 0.000 0.000 0.500 (multiplicity 4)
4 Ir 0.250 0.250 0.250 (multiplicity 4)